1.
A plane-wave DFT calculation with PBE was carried out for a relaxed Ca2Bi3 crystal.

a = 5.880 Å, b = 11.055 Å, c = 6.542 Å
α = 90.00°, β = 123.75°, γ = 90.00°
Sites, in units of the cell vectors:
Ca 0.168 0.108 0.333
Ca 0.168 0.392 0.833
Ca 0.832 0.608 0.167
Ca 0.832 0.892 0.667
Bi 0.330 0.750 0.166
Bi 0.330 0.750 0.666
Bi 0.500 0.000 0.000
Bi 0.500 0.500 0.500
Bi 0.670 0.250 0.334
Bi 0.670 0.250 0.834

Output
The calculation puts the total energy at -3.604 eV/atom. The energy relative to the elements comes out at -0.475 eV per atom. Its density is 6.6 g/cm3.

***

2.
A plane-wave DFT calculation with PBE was carried out for a relaxed CaBi crystal.

a = 5.200 Å, b = 5.200 Å, c = 5.200 Å
α = 60.00°, β = 60.00°, γ = 60.00°
Sites, in units of the cell vectors:
Ca 0.000 0.000 0.000
Bi 0.750 0.750 0.750

Output
The calculation puts the total energy at -3.028 eV/atom. The energy relative to the elements comes out at -0.087 eV per atom. Its density is 4.2 g/cm3.

***

3.
A plane-wave DFT calculation with PBE was carried out for a relaxed CaBi crystal.

a = 8.567 Å, b = 7.609 Å, c = 6.586 Å
α = 73.84°, β = 58.56°, γ = 47.60°
Sites, in units of the cell vectors:
Ca 0.110 0.640 0.110
Ca 0.360 0.890 0.360
Ca 0.640 0.110 0.640
Ca 0.890 0.360 0.890
Bi 0.158 0.592 0.592
Bi 0.408 0.842 0.842
Bi 0.592 0.158 0.158
Bi 0.842 0.408 0.408

Output
The calculation puts the total energy at -3.618 eV/atom. The energy relative to the elements comes out at -0.677 eV per atom. Its density is 6.2 g/cm3.

***

4.
A plane-wave DFT calculation with PBE was carried out for a relaxed Ca3Bi crystal.

a = 6.588 Å, b = 6.588 Å, c = 6.588 Å
α = 136.01°, β = 136.01°, γ = 63.97°
Sites, in units of the cell vectors:
Ca 0.000 0.000 0.000
Ca 0.250 0.750 0.500
Ca 0.750 0.250 0.500
Bi 0.500 0.500 0.000

Output
As for the energy relative to the lowest polymorph listed for this composition: 0.074 eV/atom. The calculation puts the total energy at -2.866 eV/atom. The energy relative to the elements comes out at -0.394 eV per atom. Its density is 4.0 g/cm3.

***

5.
A plane-wave DFT calculation with PBE was carried out for a relaxed Ca8Cd2Bi crystal.

a = 9.579 Å, b = 9.579 Å, c = 9.579 Å
α = 148.22°, β = 125.28°, γ = 64.68°
Sites, in units of the cell vectors:
Ca 0.118 0.336 0.782
Ca 0.145 0.145 0.000
Ca 0.309 0.000 0.309
Ca 0.446 0.664 0.782
Ca 0.554 0.336 0.218
Ca 0.691 0.000 0.691
Ca 0.855 0.855 0.000
Ca 0.882 0.664 0.218
Cd 0.309 0.809 0.500
Cd 0.691 0.191 0.500
Bi 0.000 0.500 0.500

Output
The calculation puts the total energy at -2.241 eV/atom. The energy relative to the elements comes out at -0.266 eV per atom. Its density is 3.4 g/cm3.

***

6.
A plane-wave DFT calculation with PBE was carried out for a relaxed CaCd3Bi3 crystal.

a = 12.865 Å, b = 12.865 Å, c = 3.564 Å
α = 90.00°, β = 90.00°, γ = 120.00°
Sites, in units of the cell vectors:
Ca 0.333 0.667 0.250
Ca 0.667 0.333 0.750
Cd 0.084 0.472 0.750
Cd 0.388 0.916 0.750
Cd 0.472 0.388 0.250
Cd 0.528 0.612 0.750
Cd 0.612 0.084 0.250
Cd 0.916 0.528 0.250
Bi 0.122 0.728 0.750
Bi 0.272 0.394 0.750
Bi 0.394 0.122 0.250
Bi 0.606 0.878 0.750
Bi 0.728 0.606 0.250
Bi 0.878 0.272 0.250

Output
As for the energy relative to the lowest polymorph listed for this composition: 0.072 eV/atom. The calculation puts the total energy at -2.467 eV/atom. The energy relative to the elements comes out at -0.125 eV per atom. Its density is 6.5 g/cm3.